Entry from Alexandria: a relaxed structure of LaSb2Pt (PBE-GGA).

ΔE_f (raw) in meV/atom: -697
Size of the total moment in μB/atom: 0.000
Space-group type: Pm (6)

Unit cell a=4.1941 b=4.6107 c=6.0017 alpha=67.73 beta=90.00 gamma=90.00
Closest atoms and distances in Å follow each position.
Fractional positions:
La 0.0000 0.4979 0.6051  4 Pt 3.07-3.20, 3 Sb 3.19-3.33
Pt 0.5000 0.9477 0.6684  3 Sb 2.65-2.91
Sb 0.0000 0.7981 0.0302  2 Pt 2.91, 2 Sb 3.12, 1 La 3.19
Sb 0.5000 0.2564 0.1962  1 Pt 2.65